This record from Alexandria describes a relaxed structure of Mn2VZnO6. The functional is GGA+U.

Cell: 5.071 5.126 5.554 Å, 116.32 91.37 119.07°
Space group P1 (No. 1)
Unique sites:
Mn1 0.000 0.000 0.000 [1 per cell]
Mn2 0.491 0.974 0.457 [1 per cell]
V1 0.800 0.584 0.389 [1 per cell]
Zn1 0.287 0.535 0.812 [1 per cell]
O1 0.080 0.510 0.212 [1 per cell]
O2 0.209 0.064 0.666 [1 per cell]
O3 0.421 0.128 0.211 [1 per cell]
O4 0.608 0.801 0.665 [1 per cell]
O5 0.676 0.766 0.187 [1 per cell]
O6 0.867 0.452 0.667 [1 per cell]

**Volume**: 10.77 Å³/atom
**Uncorrected energy**: -6.988 eV per atom
**Magnetic moment**: 9.00 μB/f.u.